DFT (PBE-GGA) results for crystalline TlHgAu3 at its relaxed geometry.

Geometry as POSCAR:
```
TlHgAu3
1.0
5.535 0.000 0.000
0.000 7.719 0.000
0.000 0.000 11.153
Tl Hg Au
4 4 12
direct
0.000 0.000 0.000
0.000 0.500 0.000
0.500 0.000 0.500
0.500 0.500 0.500
0.001 0.250 0.469
0.499 0.750 0.969
0.501 0.250 0.031
0.999 0.750 0.531
0.004 0.750 0.267
0.246 0.570 0.750
0.246 0.930 0.750
0.254 0.070 0.250
0.254 0.430 0.250
0.496 0.250 0.767
0.504 0.750 0.233
0.746 0.570 0.750
0.746 0.930 0.750
0.754 0.070 0.250
0.754 0.430 0.250
0.996 0.250 0.733
```

Values from the calculation:
Size of the total moment   0.00 μB per atom
Fermi-level density of states   5.03 states/eV/cell
Calculated total energy   -49.60 eV per cell
Energy relative to the lowest polymorph listed for this composition   0 meV/atom
Formation energy from the elements   0.10 eV/f.u.